Compound: Li2MnHgBr6
Source: the Alexandria database
Functional: GGA-PBE
Structure: relaxed

abc: 6.9116 6.9116 18.8926
angles: 90.00 90.00 120.00
Space group R3 (No. 146, hexagonal axes)
One atom of each set of equivalent atoms:
Li  0.0000  0.0000  0.0000 x3
Li  0.0000  0.0000  0.4880 x3
Mn  0.0000  0.0000  0.6837 x3
Hg  0.0000  0.0000  0.1927 x3
Br  0.0151  0.3412  0.7516 x9
Br  0.0174  0.7052  0.5889 x9

Results
**Total energy**: -0.1201 hartree per atom
**Energy relative to the elements, uncorrected**: -935 meV/atom